The following is a DFT calculation (SCAN) of a crystal of P2PbAu relaxed with PBEsol.

Results
- N(E_F) (states/eV/atom) = 0.42
- formation energy (eV/atom) = -0.0088

a = 4.545 Å, b = 3.814 Å, c = 5.000 Å
α = 90.00°, β = 103.77°, γ = 90.00°
Atoms (fractional coordinates):
1 P 0.224 0.000 0.143
2 P 0.776 0.000 0.857
3 Pb 0.000 0.500 0.500
4 Au 0.500 0.500 0.000



The following is a DFT calculation (SCAN) of a crystal of P2PbAuS relaxed with PBEsol.

Results
- formation energy without anion corrections (kJ/mol of atoms) = 66
- N(E_F) (states/eV/atom) = 0.66

a = 4.733 Å, b = 4.733 Å, c = 5.006 Å
α = 90.00°, β = 90.00°, γ = 90.00°
Atoms (fractional coordinates):
1 P 0.000 0.500 0.000
2 P 0.500 0.000 0.000
3 Pb 0.000 0.000 0.500
4 Au 0.500 0.500 0.000
5 S 0.500 0.500 0.500



The following is a DFT calculation (SCAN) of a crystal of PPt2Au relaxed with PBEsol.

Results
- N(E_F) (states/eV/atom) = 0.44
- formation energy (eV/atom) = 0.0107

a = 2.940 Å, b = 2.940 Å, c = 6.945 Å
α = 90.00°, β = 90.00°, γ = 90.00°
Atoms (fractional coordinates):
1 P 0.000 0.000 0.000
2 Pt 0.500 0.500 0.212
3 Pt 0.500 0.500 0.788
4 Au 0.000 0.000 0.500



The following is a DFT calculation (SCAN) of a crystal of PPt4Au relaxed with PBEsol.

Results
- N(E_F) (states/eV/atom) = 0.95
- formation energy (eV/atom) = 0.4764

a = 5.197 Å, b = 5.197 Å, c = 5.197 Å
α = 60.00°, β = 60.00°, γ = 60.00°
Atoms (fractional coordinates):
1 P 0.000 0.000 0.000
2 Pt 0.375 0.375 0.375
3 Pt 0.375 0.375 0.875
4 Pt 0.375 0.875 0.375
5 Pt 0.875 0.375 0.375
6 Au 0.750 0.750 0.750



The following is a DFT calculation (SCAN) of a crystal of P2PtAuS relaxed with PBEsol.

Results
- formation energy without anion corrections (kJ/mol of atoms) = 89
- N(E_F) (states/eV/atom) = 0.87

a = 4.531 Å, b = 4.531 Å, c = 4.880 Å
α = 90.00°, β = 90.00°, γ = 90.00°
Atoms (fractional coordinates):
1 P 0.000 0.500 0.000
2 P 0.500 0.000 0.000
3 Pt 0.000 0.000 0.000
4 Au 0.500 0.500 0.500
5 S 0.000 0.000 0.500



The following is a DFT calculation (SCAN) of a crystal of Sb2PPtAu relaxed with PBEsol.

Results
- formation energy without anion corrections (kJ/mol of atoms) = 78
- N(E_F) (states/eV/atom) = 0.58

a = 5.126 Å, b = 5.126 Å, c = 4.423 Å
α = 90.00°, β = 90.00°, γ = 90.00°
Atoms (fractional coordinates):
1 Sb 0.000 0.500 0.000
2 Sb 0.500 0.000 0.000
3 P 0.000 0.000 0.000
4 Pt 0.500 0.500 0.500
5 Au 0.000 0.000 0.500



The following is a DFT calculation (SCAN) of a crystal of ZnP2PtAu relaxed with PBEsol.

Results
- N(E_F) (states/eV/atom) = 0.60
- formation energy (eV/atom) = 1.1676

a = 4.583 Å, b = 4.583 Å, c = 5.081 Å
α = 90.00°, β = 90.00°, γ = 90.00°
Atoms (fractional coordinates):
1 Zn 0.000 0.000 0.000
2 P 0.000 0.500 0.500
3 P 0.500 0.000 0.500
4 Pt 0.500 0.500 0.000
5 Au 0.500 0.500 0.500



The following is a DFT calculation (SCAN) of a crystal of RbP2Au relaxed with PBEsol.

Results
- N(E_F) (states/eV/atom) = 0.41
- formation energy (eV/atom) = -0.0735

a = 9.355 Å, b = 9.355 Å, c = 9.355 Å
α = 150.05°, β = 150.05°, γ = 42.86°
Atoms (fractional coordinates):
1 Rb 0.375 0.625 0.750
2 Rb 0.625 0.375 0.250
3 P 0.000 0.000 0.000
4 P 0.000 0.000 0.500
5 P 0.000 0.500 0.000
6 P 0.500 0.000 0.500
7 Au 0.125 0.875 0.250
8 Au 0.875 0.125 0.750